Entry 1:
Density functional theory data (PBE-GGA) for LuCuBiPd after structural relaxation.

Lattice parameters (Å, degrees): 6.8173 6.8173 6.8173 90.00 90.00 90.00
Closest atoms and distances in Å follow each position.
Fractional coordinates of all 16 atoms:
Lu  0.0000  0.0000  0.0000  4 Pd 2.95, 4 Cu 2.95
Lu  0.0000  0.5000  0.5000  4 Pd 2.95, 4 Cu 2.95
Lu  0.5000  0.0000  0.5000  4 Pd 2.95, 4 Cu 2.95
Lu  0.5000  0.5000  0.0000  4 Pd 2.95, 4 Cu 2.95
Cu  0.2500  0.2500  0.7500  4 Bi 2.95, 4 Lu 2.95
Cu  0.2500  0.7500  0.2500  4 Bi 2.95, 4 Lu 2.95
Cu  0.7500  0.2500  0.2500  4 Bi 2.95, 4 Lu 2.95
Cu  0.7500  0.7500  0.7500  4 Bi 2.95, 4 Lu 2.95
Bi  0.0000  0.0000  0.5000  4 Cu 2.95, 4 Pd 2.95
Bi  0.0000  0.5000  0.0000  4 Cu 2.95, 4 Pd 2.95
Bi  0.5000  0.0000  0.0000  4 Cu 2.95, 4 Pd 2.95
Bi  0.5000  0.5000  0.5000  4 Cu 2.95, 4 Pd 2.95
Pd  0.2500  0.2500  0.2500  4 Bi 2.95, 4 Lu 2.95
Pd  0.2500  0.7500  0.7500  4 Bi 2.95, 4 Lu 2.95
Pd  0.7500  0.2500  0.7500  4 Bi 2.95, 4 Lu 2.95
Pd  0.7500  0.7500  0.2500  4 Bi 2.95, 4 Lu 2.95

Output
Magnetization in μB/atom: 0.000
Calculated density in kg/m3: 11612
Relative energy among the computed polymorphs in meV per atom: 0
Crystal system: cubic

=====

Entry 2:
Density functional theory data (PBE-GGA) for LuCuBiPt after structural relaxation.

Lattice parameters (Å, degrees): 6.8386 6.8386 6.8386 90.00 90.00 90.00
Closest atoms and distances in Å follow each position.
Fractional coordinates of all 16 atoms:
Lu  0.0000  0.0000  0.0000  4 Pt 2.96, 4 Cu 2.96
Lu  0.0000  0.5000  0.5000  4 Pt 2.96, 4 Cu 2.96
Lu  0.5000  0.0000  0.5000  4 Pt 2.96, 4 Cu 2.96
Lu  0.5000  0.5000  0.0000  4 Pt 2.96, 4 Cu 2.96
Cu  0.2500  0.2500  0.7500  4 Lu 2.96, 4 Bi 2.96
Cu  0.2500  0.7500  0.2500  4 Lu 2.96, 4 Bi 2.96
Cu  0.7500  0.2500  0.2500  4 Lu 2.96, 4 Bi 2.96
Cu  0.7500  0.7500  0.7500  4 Lu 2.96, 4 Bi 2.96
Bi  0.0000  0.0000  0.5000  4 Cu 2.96, 4 Pt 2.96
Bi  0.0000  0.5000  0.0000  4 Cu 2.96, 4 Pt 2.96
Bi  0.5000  0.0000  0.0000  4 Cu 2.96, 4 Pt 2.96
Bi  0.5000  0.5000  0.5000  4 Cu 2.96, 4 Pt 2.96
Pt  0.2500  0.2500  0.2500  4 Bi 2.96, 4 Lu 2.96
Pt  0.2500  0.7500  0.7500  4 Bi 2.96, 4 Lu 2.96
Pt  0.7500  0.2500  0.7500  4 Bi 2.96, 4 Lu 2.96
Pt  0.7500  0.7500  0.2500  4 Bi 2.96, 4 Lu 2.96

Output
Magnetization in μB/atom: 0.000
Calculated density in kg/m3: 13346
Relative energy among the computed polymorphs in meV per atom: 0
Crystal system: cubic

=====

Entry 3:
Density functional theory data (PBE-GGA) for LuCuBiPt after structural relaxation.

Lattice parameters (Å, degrees): 6.8560 6.8560 6.8560 90.00 90.00 90.00
Closest atoms and distances in Å follow each position.
Fractional coordinates of all 16 atoms:
Lu  0.0000  0.0000  0.0000  4 Pt 2.97, 4 Bi 2.97
Lu  0.0000  0.5000  0.5000  4 Pt 2.97, 4 Bi 2.97
Lu  0.5000  0.0000  0.5000  4 Pt 2.97, 4 Bi 2.97
Lu  0.5000  0.5000  0.0000  4 Bi 2.97, 4 Pt 2.97
Cu  0.0000  0.0000  0.5000  4 Bi 2.97, 4 Pt 2.97
Cu  0.0000  0.5000  0.0000  4 Bi 2.97, 4 Pt 2.97
Cu  0.5000  0.0000  0.0000  4 Bi 2.97, 4 Pt 2.97
Cu  0.5000  0.5000  0.5000  4 Bi 2.97, 4 Pt 2.97
Bi  0.2500  0.2500  0.2500  4 Cu 2.97, 4 Lu 2.97
Bi  0.2500  0.7500  0.7500  4 Cu 2.97, 4 Lu 2.97
Bi  0.7500  0.2500  0.7500  4 Cu 2.97, 4 Lu 2.97
Bi  0.7500  0.7500  0.2500  4 Cu 2.97, 4 Lu 2.97
Pt  0.2500  0.2500  0.7500  4 Cu 2.97, 4 Lu 2.97
Pt  0.2500  0.7500  0.2500  4 Cu 2.97, 4 Lu 2.97
Pt  0.7500  0.2500  0.2500  4 Cu 2.97, 4 Lu 2.97
Pt  0.7500  0.7500  0.7500  4 Cu 2.97, 4 Lu 2.97

Output
Magnetization in μB/atom: 0.000
Calculated density in kg/m3: 13244
Relative energy among the computed polymorphs in meV per atom: 138
Crystal system: cubic

=====

Entry 4:
Density functional theory data (PBE-GGA) for LuCuReBi after structural relaxation.

Lattice parameters (Å, degrees): 6.7709 6.7709 6.7709 90.00 90.00 90.00
Closest atoms and distances in Å follow each position.
Fractional coordinates of all 16 atoms:
Lu  0.0000  0.0000  0.0000  4 Re 2.93, 4 Cu 2.93
Lu  0.0000  0.5000  0.5000  4 Cu 2.93, 4 Re 2.93
Lu  0.5000  0.0000  0.5000  4 Cu 2.93, 4 Re 2.93
Lu  0.5000  0.5000  0.0000  4 Re 2.93, 4 Cu 2.93
Cu  0.2500  0.2500  0.7500  4 Bi 2.93, 4 Lu 2.93
Cu  0.2500  0.7500  0.2500  4 Bi 2.93, 4 Lu 2.93
Cu  0.7500  0.2500  0.2500  4 Bi 2.93, 4 Lu 2.93
Cu  0.7500  0.7500  0.7500  4 Bi 2.93, 4 Lu 2.93
Re  0.2500  0.2500  0.2500  4 Bi 2.93, 4 Lu 2.93
Re  0.2500  0.7500  0.7500  4 Bi 2.93, 4 Lu 2.93
Re  0.7500  0.2500  0.7500  4 Bi 2.93, 4 Lu 2.93
Re  0.7500  0.7500  0.2500  4 Bi 2.93, 4 Lu 2.93
Bi  0.0000  0.0000  0.5000  4 Re 2.93, 4 Cu 2.93
Bi  0.0000  0.5000  0.0000  4 Re 2.93, 4 Cu 2.93
Bi  0.5000  0.0000  0.0000  4 Re 2.93, 4 Cu 2.93
Bi  0.5000  0.5000  0.5000  4 Re 2.93, 4 Cu 2.93

Output
Magnetization in μB/atom: 0.003
Calculated density in kg/m3: 13560
Relative energy among the computed polymorphs in meV per atom: 0
Crystal system: cubic

=====

Entry 5:
Density functional theory data (PBE-GGA) for LuCuReBi after structural relaxation.

Lattice parameters (Å, degrees): 6.8066 6.8066 6.8066 90.00 90.00 90.00
Closest atoms and distances in Å follow each position.
Fractional coordinates of all 16 atoms:
Lu  0.0000  0.0000  0.0000  4 Bi 2.95, 4 Re 2.95
Lu  0.0000  0.5000  0.5000  4 Bi 2.95, 4 Re 2.95
Lu  0.5000  0.0000  0.5000  4 Bi 2.95, 4 Re 2.95
Lu  0.5000  0.5000  0.0000  4 Bi 2.95, 4 Re 2.95
Cu  0.0000  0.0000  0.5000  4 Re 2.95, 4 Bi 2.95
Cu  0.0000  0.5000  0.0000  4 Re 2.95, 4 Bi 2.95
Cu  0.5000  0.0000  0.0000  4 Re 2.95, 4 Bi 2.95
Cu  0.5000  0.5000  0.5000  4 Re 2.95, 4 Bi 2.95
Re  0.2500  0.2500  0.2500  4 Cu 2.95, 4 Lu 2.95
Re  0.2500  0.7500  0.7500  4 Cu 2.95, 4 Lu 2.95
Re  0.7500  0.2500  0.7500  4 Cu 2.95, 4 Lu 2.95
Re  0.7500  0.7500  0.2500  4 Cu 2.95, 4 Lu 2.95
Bi  0.2500  0.2500  0.7500  4 Cu 2.95, 4 Lu 2.95
Bi  0.2500  0.7500  0.2500  4 Cu 2.95, 4 Lu 2.95
Bi  0.7500  0.2500  0.2500  4 Cu 2.95, 4 Lu 2.95
Bi  0.7500  0.7500  0.7500  4 Cu 2.95, 4 Lu 2.95

Output
Magnetization in μB/atom: 0.108
Calculated density in kg/m3: 13348
Relative energy among the computed polymorphs in meV per atom: 266
Crystal system: cubic

=====

Entry 6:
Density functional theory data (PBE-GGA) for LuScCuBi after structural relaxation.

Lattice parameters (Å, degrees): 7.1672 7.1672 7.1672 90.00 90.00 90.00
Closest atoms and distances in Å follow each position.
Fractional coordinates of all 16 atoms:
Lu  0.0000  0.0000  0.0000  4 Cu 3.10, 4 Sc 3.10
Lu  0.0000  0.5000  0.5000  4 Cu 3.10, 4 Sc 3.10
Lu  0.5000  0.0000  0.5000  4 Cu 3.10, 4 Sc 3.10
Lu  0.5000  0.5000  0.0000  4 Cu 3.10, 4 Sc 3.10
Sc  0.2500  0.2500  0.7500  4 Bi 3.10, 4 Lu 3.10
Sc  0.2500  0.7500  0.2500  4 Bi 3.10, 4 Lu 3.10
Sc  0.7500  0.2500  0.2500  4 Bi 3.10, 4 Lu 3.10
Sc  0.7500  0.7500  0.7500  4 Bi 3.10, 4 Lu 3.10
Cu  0.2500  0.2500  0.2500  4 Bi 3.10, 4 Lu 3.10
Cu  0.2500  0.7500  0.7500  4 Bi 3.10, 4 Lu 3.10
Cu  0.7500  0.2500  0.7500  4 Bi 3.10, 4 Lu 3.10
Cu  0.7500  0.7500  0.2500  4 Bi 3.10, 4 Lu 3.10
Bi  0.0000  0.0000  0.5000  4 Sc 3.10, 4 Cu 3.10
Bi  0.0000  0.5000  0.0000  4 Sc 3.10, 4 Cu 3.10
Bi  0.5000  0.0000  0.0000  4 Sc 3.10, 4 Cu 3.10
Bi  0.5000  0.5000  0.5000  4 Sc 3.10, 4 Cu 3.10

Output
Magnetization in μB/atom: 0.028
Calculated density in kg/m3: 8884
Relative energy among the computed polymorphs in meV per atom: 0
Crystal system: cubic

=====

Entry 7:
Density functional theory data (PBE-GGA) for LuTaCuBi after structural relaxation.

Lattice parameters (Å, degrees): 6.9849 6.9849 6.9849 90.00 90.00 90.00
Closest atoms and distances in Å follow each position.
Fractional coordinates of all 16 atoms:
Lu  0.0000  0.0000  0.0000  4 Ta 3.02, 4 Cu 3.02
Lu  0.0000  0.5000  0.5000  4 Ta 3.02, 4 Cu 3.02
Lu  0.5000  0.0000  0.5000  4 Ta 3.02, 4 Cu 3.02
Lu  0.5000  0.5000  0.0000  4 Ta 3.02, 4 Cu 3.02
Ta  0.2500  0.2500  0.2500  4 Bi 3.02, 4 Lu 3.02
Ta  0.2500  0.7500  0.7500  4 Bi 3.02, 4 Lu 3.02
Ta  0.7500  0.2500  0.7500  4 Bi 3.02, 4 Lu 3.02
Ta  0.7500  0.7500  0.2500  4 Bi 3.02, 4 Lu 3.02
Cu  0.2500  0.2500  0.7500  4 Bi 3.02, 4 Lu 3.02
Cu  0.2500  0.7500  0.2500  4 Bi 3.02, 4 Lu 3.02
Cu  0.7500  0.2500  0.2500  4 Bi 3.02, 4 Lu 3.02
Cu  0.7500  0.7500  0.7500  4 Bi 3.02, 4 Lu 3.02
Bi  0.0000  0.0000  0.5000  4 Ta 3.02, 4 Cu 3.02
Bi  0.0000  0.5000  0.0000  4 Ta 3.02, 4 Cu 3.02
Bi  0.5000  0.0000  0.0000  4 Ta 3.02, 4 Cu 3.02
Bi  0.5000  0.5000  0.5000  4 Ta 3.02, 4 Cu 3.02

Output
Magnetization in μB/atom: 0.296
Calculated density in kg/m3: 12249
Relative energy among the computed polymorphs in meV per atom: 0
Crystal system: cubic

=====

Entry 8:
Density functional theory data (PBE-GGA) for LuCuBiW after structural relaxation.

Lattice parameters (Å, degrees): 6.8382 6.8382 6.8382 90.00 90.00 90.00
Closest atoms and distances in Å follow each position.
Fractional coordinates of all 16 atoms:
Lu  0.0000  0.0000  0.0000  4 W 2.96, 4 Cu 2.96
Lu  0.0000  0.5000  0.5000  4 W 2.96, 4 Cu 2.96
Lu  0.5000  0.0000  0.5000  4 W 2.96, 4 Cu 2.96
Lu  0.5000  0.5000  0.0000  4 W 2.96, 4 Cu 2.96
Cu  0.2500  0.2500  0.2500  4 Bi 2.96, 4 Lu 2.96
Cu  0.2500  0.7500  0.7500  4 Bi 2.96, 4 Lu 2.96
Cu  0.7500  0.2500  0.7500  4 Bi 2.96, 4 Lu 2.96
Cu  0.7500  0.7500  0.2500  4 Bi 2.96, 4 Lu 2.96
Bi  0.0000  0.0000  0.5000  4 W 2.96, 4 Cu 2.96
Bi  0.0000  0.5000  0.0000  4 W 2.96, 4 Cu 2.96
Bi  0.5000  0.0000  0.0000  4 W 2.96, 4 Cu 2.96
Bi  0.5000  0.5000  0.5000  4 W 2.96, 4 Cu 2.96
W  0.2500  0.2500  0.7500  4 Bi 2.96, 4 Lu 2.96
W  0.2500  0.7500  0.2500  4 Bi 2.96, 4 Lu 2.96
W  0.7500  0.2500  0.2500  4 Bi 2.96, 4 Lu 2.96
W  0.7500  0.7500  0.7500  4 Bi 2.96, 4 Lu 2.96

Output
Magnetization in μB/atom: 0.005
Calculated density in kg/m3: 13114
Relative energy among the computed polymorphs in meV per atom: 0
Crystal system: cubic

=====

Entry 9:
Density functional theory data (PBE-GGA) for LuZnCuBi after structural relaxation.

Lattice parameters (Å, degrees): 6.9683 6.9683 6.9683 90.00 90.00 90.00
Closest atoms and distances in Å follow each position.
Fractional coordinates of all 16 atoms:
Lu  0.0000  0.0000  0.0000  4 Zn 3.02, 4 Cu 3.02
Lu  0.0000  0.5000  0.5000  4 Cu 3.02, 4 Zn 3.02
Lu  0.5000  0.0000  0.5000  4 Cu 3.02, 4 Zn 3.02
Lu  0.5000  0.5000  0.0000  4 Cu 3.02, 4 Zn 3.02
Zn  0.2500  0.2500  0.2500  4 Bi 3.02, 4 Lu 3.02
Zn  0.2500  0.7500  0.7500  4 Bi 3.02, 4 Lu 3.02
Zn  0.7500  0.2500  0.7500  4 Bi 3.02, 4 Lu 3.02
Zn  0.7500  0.7500  0.2500  4 Bi 3.02, 4 Lu 3.02
Cu  0.2500  0.2500  0.7500  4 Bi 3.02, 4 Lu 3.02
Cu  0.2500  0.7500  0.2500  4 Bi 3.02, 4 Lu 3.02
Cu  0.7500  0.2500  0.2500  4 Bi 3.02, 4 Lu 3.02
Cu  0.7500  0.7500  0.7500  4 Bi 3.02, 4 Lu 3.02
Bi  0.0000  0.0000  0.5000  4 Cu 3.02, 4 Zn 3.02
Bi  0.0000  0.5000  0.0000  4 Cu 3.02, 4 Zn 3.02
Bi  0.5000  0.0000  0.0000  4 Cu 3.02, 4 Zn 3.02
Bi  0.5000  0.5000  0.5000  4 Cu 3.02, 4 Zn 3.02

Output
Magnetization in μB/atom: 0.001
Calculated density in kg/m3: 10069
Relative energy among the computed polymorphs in meV per atom: 0
Crystal system: cubic

=====

Entry 10:
Density functional theory data (PBE-GGA) for LuZnCuBi after structural relaxation.

Lattice parameters (Å, degrees): 7.0017 7.0017 7.0017 90.00 90.00 90.00
Closest atoms and distances in Å follow each position.
Fractional coordinates of all 16 atoms:
Lu  0.0000  0.0000  0.0000  4 Zn 3.03, 4 Bi 3.03
Lu  0.0000  0.5000  0.5000  4 Bi 3.03, 4 Zn 3.03
Lu  0.5000  0.0000  0.5000  4 Bi 3.03, 4 Zn 3.03
Lu  0.5000  0.5000  0.0000  4 Bi 3.03, 4 Zn 3.03
Zn  0.2500  0.2500  0.7500  4 Cu 3.03, 4 Lu 3.03
Zn  0.2500  0.7500  0.2500  4 Cu 3.03, 4 Lu 3.03
Zn  0.7500  0.2500  0.2500  4 Cu 3.03, 4 Lu 3.03
Zn  0.7500  0.7500  0.7500  4 Lu 3.03, 4 Cu 3.03
Cu  0.0000  0.0000  0.5000  4 Bi 3.03, 4 Zn 3.03
Cu  0.0000  0.5000  0.0000  4 Bi 3.03, 4 Zn 3.03
Cu  0.5000  0.0000  0.0000  4 Bi 3.03, 4 Zn 3.03
Cu  0.5000  0.5000  0.5000  4 Bi 3.03, 4 Zn 3.03
Bi  0.2500  0.2500  0.2500  4 Cu 3.03, 4 Lu 3.03
Bi  0.2500  0.7500  0.7500  4 Cu 3.03, 4 Lu 3.03
Bi  0.7500  0.2500  0.7500  4 Cu 3.03, 4 Lu 3.03
Bi  0.7500  0.7500  0.2500  4 Cu 3.03, 4 Lu 3.03

Output
Magnetization in μB/atom: 0.000
Calculated density in kg/m3: 9925
Relative energy among the computed polymorphs in meV per atom: 89
Crystal system: cubic

=====

Entry 11:
Density functional theory data (PBE-GGA) for LuZrCuBi after structural relaxation.

Lattice parameters (Å, degrees): 7.1244 7.1244 7.1244 90.00 90.00 90.00
Closest atoms and distances in Å follow each position.
Fractional coordinates of all 16 atoms:
Lu  0.0000  0.0000  0.0000  4 Zr 3.08, 4 Cu 3.08
Lu  0.0000  0.5000  0.5000  4 Zr 3.08, 4 Cu 3.08
Lu  0.5000  0.0000  0.5000  4 Zr 3.08, 4 Cu 3.08
Lu  0.5000  0.5000  0.0000  4 Zr 3.08, 4 Cu 3.08
Zr  0.2500  0.2500  0.7500  4 Bi 3.08, 4 Lu 3.08
Zr  0.2500  0.7500  0.2500  4 Bi 3.08, 4 Lu 3.08
Zr  0.7500  0.2500  0.2500  4 Bi 3.08, 4 Lu 3.08
Zr  0.7500  0.7500  0.7500  4 Lu 3.08, 4 Bi 3.08
Cu  0.2500  0.2500  0.2500  4 Bi 3.08, 4 Lu 3.08
Cu  0.2500  0.7500  0.7500  4 Bi 3.08, 4 Lu 3.08
Cu  0.7500  0.2500  0.7500  4 Bi 3.08, 4 Lu 3.08
Cu  0.7500  0.7500  0.2500  4 Bi 3.08, 4 Lu 3.08
Bi  0.0000  0.0000  0.5000  4 Cu 3.08, 4 Zr 3.08
Bi  0.0000  0.5000  0.0000  4 Cu 3.08, 4 Zr 3.08
Bi  0.5000  0.0000  0.0000  4 Cu 3.08, 4 Zr 3.08
Bi  0.5000  0.5000  0.5000  4 Zr 3.08, 4 Cu 3.08

Output
Magnetization in μB/atom: 0.013
Calculated density in kg/m3: 9895
Relative energy among the computed polymorphs in meV per atom: 381
Crystal system: cubic

=====

Entry 12:
Density functional theory data (PBE-GGA) for LuZrCuBi after structural relaxation.

Lattice parameters (Å, degrees): 7.0820 7.0820 7.0820 90.00 90.00 90.00
Closest atoms and distances in Å follow each position.
Fractional coordinates of all 16 atoms:
Lu  0.0000  0.0000  0.0000  4 Bi 3.07, 4 Cu 3.07
Lu  0.0000  0.5000  0.5000  4 Bi 3.07, 4 Cu 3.07
Lu  0.5000  0.0000  0.5000  4 Bi 3.07, 4 Cu 3.07
Lu  0.5000  0.5000  0.0000  4 Bi 3.07, 4 Cu 3.07
Zr  0.0000  0.0000  0.5000  4 Cu 3.07, 4 Bi 3.07
Zr  0.0000  0.5000  0.0000  4 Cu 3.07, 4 Bi 3.07
Zr  0.5000  0.0000  0.0000  4 Cu 3.07, 4 Bi 3.07
Zr  0.5000  0.5000  0.5000  4 Cu 3.07, 4 Bi 3.07
Cu  0.2500  0.2500  0.2500  4 Lu 3.07, 4 Zr 3.07
Cu  0.2500  0.7500  0.7500  4 Zr 3.07, 4 Lu 3.07
Cu  0.7500  0.2500  0.7500  4 Zr 3.07, 4 Lu 3.07
Cu  0.7500  0.7500  0.2500  4 Zr 3.07, 4 Lu 3.07
Bi  0.2500  0.2500  0.7500  4 Zr 3.07, 4 Lu 3.07
Bi  0.2500  0.7500  0.2500  4 Zr 3.07, 4 Lu 3.07
Bi  0.7500  0.2500  0.2500  4 Zr 3.07, 4 Lu 3.07
Bi  0.7500  0.7500  0.7500  4 Zr 3.07, 4 Lu 3.07

Output
Magnetization in μB/atom: 0.003
Calculated density in kg/m3: 10074
Relative energy among the computed polymorphs in meV per atom: 0
Crystal system: cubic